Entry 1:
Computed, not measured: a relaxed Li4TlCd7 crystal at the PBE level of DFT.

total magnetic moment	0.0	μB/f.u.
formation energy from the elements	-0.4	eV per formula unit

a b c (Å): 11.1906 5.4829 10.7697
angles (deg): 90.00 121.18 90.00
Space group C2/m (No. 12)
Inequivalent atoms, fractional coordinates:
Li 0.0982 0.0000 0.2749 [4 per cell]
Li 0.2322 0.0000 0.8192 [4 per cell]
Tl 0.0000 0.5000 0.5000 [2 per cell]
Cd 0.0000 0.0000 0.5000 [2 per cell]
Cd 0.0427 0.5000 0.8732 [4 per cell]
Cd 0.1496 0.0000 0.0338 [4 per cell]
Cd 0.2109 0.5000 0.4086 [4 per cell]

=====

Entry 2:
Computed, not measured: a relaxed Li6TlCd5 crystal at the PBE level of DFT.

energy above the most stable polymorph in this dataset	3	meV per atom
total magnetic moment	0.0	μB/f.u.
formation energy from the elements	-3.0	eV per formula unit

a b c (Å): 8.0693 14.3858 4.7933
angles (deg): 90.00 125.86 90.00
Space group C2/m (No. 12)
Inequivalent atoms, fractional coordinates:
Li 0.2500 0.0000 0.2497 [4 per cell]
Li 0.2496 0.1669 0.7498 [8 per cell]
Tl 0.0000 0.0000 0.5000 [2 per cell]
Cd 0.0000 0.1696 0.0000 [4 per cell]
Cd 0.0000 0.3338 0.5000 [4 per cell]
Cd 0.0000 0.5000 0.0000 [2 per cell]

=====

Entry 3:
Computed, not measured: a relaxed Li15Tl4Cd crystal at the PBE level of DFT.

total magnetic moment	0.0	μB/f.u.
formation energy from the elements	-3.7	eV per formula unit

a b c (Å): 4.1490 4.1490 22.1017
angles (deg): 90.00 90.00 90.00
Space group P4/mmm (No. 123)
Inequivalent atoms, fractional coordinates:
Li 0.0000 0.0000 0.0000 [1 per cell]
Li 0.0000 0.0000 0.1970 [2 per cell]
Li 0.0000 0.0000 0.3989 [2 per cell]
Li 0.0000 0.5000 0.0978 [4 per cell]
Li 0.0000 0.5000 0.2975 [4 per cell]
Li 0.0000 0.5000 0.5000 [2 per cell]
Tl 0.5000 0.5000 0.1983 [2 per cell]
Tl 0.5000 0.5000 0.3981 [2 per cell]
Cd 0.5000 0.5000 0.0000 [1 per cell]

=====

Entry 4:
Computed, not measured: a relaxed Li3Tl4Cd crystal at the PBE level of DFT.

total magnetic moment	0.0	μB/f.u.
formation energy from the elements	-1.2	eV per formula unit

a b c (Å): 9.9745 7.3595 4.9904
angles (deg): 90.00 90.00 90.00
Space group Pmma (No. 51)
Inequivalent atoms, fractional coordinates:
Li 0.0000 0.0000 0.0000 [2 per cell]
Li 0.2500 0.0000 0.4974 [2 per cell]
Li 0.2500 0.5000 0.4957 [2 per cell]
Tl 0.0000 0.2368 0.5000 [4 per cell]
Tl 0.2500 0.2366 0.9975 [4 per cell]
Cd 0.0000 0.5000 0.0000 [2 per cell]

=====

Entry 5:
Computed, not measured: a relaxed Li3TlCd crystal at the PBE level of DFT.

energy above the most stable polymorph in this dataset	309	meV per atom
total magnetic moment	0.0	μB/f.u.
formation energy from the elements	0.5	eV per formula unit

a b c (Å): 5.0574 5.0574 5.0574
angles (deg): 90.00 90.00 90.00
Space group Pm-3m (No. 221)
Inequivalent atoms, fractional coordinates:
Li 0.0000 0.0000 0.5000 [3 per cell]
Tl 0.5000 0.5000 0.5000 [1 per cell]
Cd 0.0000 0.0000 0.0000 [1 per cell]

=====

Entry 6:
Computed, not measured: a relaxed Li6Tl2Cd crystal at the PBE level of DFT.

energy above the most stable polymorph in this dataset	3	meV per atom
total magnetic moment	0.0	μB/f.u.
formation energy from the elements	-1.7	eV per formula unit

a b c (Å): 8.0710 8.0710 3.2047
angles (deg): 90.00 90.00 120.00
Space group P-62m (No. 189)
Inequivalent atoms, fractional coordinates:
Li 0.0000 0.2973 0.0000 [3 per cell]
Li 0.0000 0.6307 0.5000 [3 per cell]
Tl 0.3333 0.6667 0.0000 [2 per cell]
Cd 0.0000 0.0000 0.5000 [1 per cell]

=====

Which of these has the highest formation energy from the elements? Li3TlCd

=====

Number 1 is which compound? Li4TlCd7

=====

The highest formation energy from the elements belongs to which entry? Li3TlCd